1.
A relaxed Ag3B2Pt4 crystal. Source: Alexandria, functional PBE-GGA.

POSCAR file:
```
Ag3B2Pt4
1.0
-0.8472 -2.7614 -0.8392
4.1100 -0.6242 3.2951
-7.4935 0.3142 6.5314
Ag B Pt
3 2 4
direct
0.3811 0.7622 0.6521 Ag
0.0000 0.0000 0.0000 Ag
0.6189 0.2378 0.3479 Ag
0.3138 0.6276 0.2626 B
0.6862 0.3724 0.7374 B
0.7575 0.5150 0.1220 Pt
0.1038 0.2076 0.6052 Pt
0.8962 0.7924 0.3948 Pt
0.2425 0.4850 0.8780 Pt
```

Summary:
- Formation energy: -0.0638 eV per atom
- SG: C2/m, No. 12
- DFT total energy: -46.6 eV/cell

2.
A relaxed AgBPt4 crystal. Source: Alexandria, functional PBE-GGA.

POSCAR file:
```
AgBPt4
1.0
-3.3652 3.4601 -2.8650
-3.9551 -2.5157 1.6073
-0.0832 6.8375 2.8571
Ag B Pt
2 2 8
direct
0.8060 0.1943 0.3879 Ag
0.1940 0.8057 0.6121 Ag
0.4999 0.6842 0.0003 B
0.5001 0.3158 0.9997 B
0.6945 0.8062 0.6111 Pt
0.6426 0.6139 0.2279 Pt
0.7552 0.0000 0.0000 Pt
0.8705 0.3861 0.7721 Pt
0.3055 0.1938 0.3889 Pt
0.3574 0.3861 0.7721 Pt
0.2448 0.0000 0.0000 Pt
0.1295 0.6139 0.2279 Pt
```

Summary:
- Formation energy: -0.0492 eV per atom
- SG: C2/m, No. 12
- DFT total energy: -68.0 eV/cell
- Excess energy over the best structure of this formula in the dataset: 83 meV/atom

3.
A relaxed AgBPt crystal. Source: Alexandria, functional PBE-GGA.

POSCAR file:
```
AgBPt
1.0
-0.5870 2.2223 -2.5212
-2.6170 -1.4522 1.6376
-0.0096 3.2706 2.8851
B Ag Pt
1 1 1
direct
0.3333 0.6667 0.5825 B
0.0000 0.0000 0.9664 Ag
0.6667 0.3333 0.4511 Pt
```

Summary:
- Formation energy: 0.0698 eV per atom
- SG: P3m1, No. 156
- DFT total energy: -15.4 eV/cell
- Excess energy over the best structure of this formula in the dataset: 166 meV/atom

4.
A relaxed Ag2BPt6 crystal. Source: Alexandria, functional PBE-GGA.

POSCAR file:
```
Ag2BPt6
1.0
2.8571 0.0000 0.0000
0.0000 6.5635 -3.7894
0.0000 0.0000 7.5789
Ag B Pt
2 1 6
direct
0.5000 0.6667 0.3333 Ag
0.5000 0.3333 0.6667 Ag
0.0000 0.0000 0.0000 B
0.2318 0.0000 0.3021 Pt
0.2318 0.6979 0.6979 Pt
0.7682 0.0000 0.6979 Pt
0.7682 0.6979 0.0000 Pt
0.7682 0.3021 0.3021 Pt
0.2318 0.3021 0.0000 Pt
```

Summary:
- Formation energy: 0.2412 eV per atom
- SG: P-31m, No. 162
- DFT total energy: -46.5 eV/cell

| no. | magnetization (Bohr magnetons per cell) |
| --- | --- |
| 1 | 0.0 |
| 2 | 0.0 |
| 3 | 0.0 |
| 4 | 0.0 |